# KCr2ReF

A geometry-optimized KCr2ReF structure (PBE+U, Alexandria).

Output
The total energy comes out at -23.115 eV/cell. As for the polymorph energy (0 for the lowest one): 0.874 eV per atom.

The structure in CIF format:
```
data_KCr2ReF
_cell_length_a 5.601
_cell_length_b 4.346
_cell_length_c 5.601
_cell_angle_alpha 90.00
_cell_angle_beta 90.00
_cell_angle_gamma 90.00
_symmetry_space_group_name_H-M 'P 1'
_symmetry_Int_Tables_number 1
loop_
_symmetry_equiv_pos_as_xyz
'x,y,z'
loop_
_atom_site_label
_atom_site_type_symbol
_atom_site_fract_x
_atom_site_fract_y
_atom_site_fract_z
F1 F 0.000 0.500 0.000
Cr1 Cr 0.000 0.000 0.500
Cr2 Cr 0.500 0.000 0.000
Re1 Re 0.500 0.500 0.500
K1 K 0.000 0.000 0.000
```